Entry from the Alexandria database: an optimized crystal structure of SrHo3As4O12 (PBE-GGA).

a b c (Å): 7.154 7.154 7.154
angles (deg): 105.05 105.05 105.05
Fractional positions:
O (0.931, 0.500, 0.069)
Ho (0.433, 0.000, 0.567)
O (0.500, 0.331, 0.669)
O (0.500, 0.069, 0.931)
O (0.069, 0.931, 0.500)
As (0.500, 0.912, 0.088)
O (0.988, 0.645, 0.755)
O (0.012, 0.245, 0.355)
O (0.245, 0.355, 0.012)
O (0.645, 0.755, 0.988)
Ho (0.000, 0.567, 0.433)
Ho (0.567, 0.433, 0.000)
As (0.912, 0.088, 0.500)
As (0.500, 0.500, 0.500)
O (0.755, 0.988, 0.645)
O (0.331, 0.669, 0.500)
As (0.088, 0.500, 0.912)
O (0.355, 0.012, 0.245)
Sr (0.000, 0.000, 0.000)
O (0.669, 0.500, 0.331)

Output
Total moment (Bohr magnetons per cell): 0.000
VASP energy (eV per cell): -133.24
Crystal system: trigonal
N(E_F) (states/eV per atom): 0.223
ΔE_f (raw) (eV/atom): -1.9863